Entry 1:
LiHf2Si2 SCAN PBEsol geometry; DOS(E_F) = 0.8058 states/eV/atom; VASP energy = -29.608 eV/atom
1.0
-3.8024 0.6001 -1.9660
-0.0285 -4.1491 -1.2114
-0.7093 0.4302 6.2547
Si Hf Li
2 2 1
Cartesian
-2.0620 -1.0561 3.6657
-2.4782 -2.0627 -0.5883
-1.3266 -2.7467 1.7273
-3.2135 -0.3721 1.3500
0.0000 0.0000 0.0000


Entry 2:
ReAgBi3 SCAN PBEsol geometry; ΔH_f (0 K) = 0.97 eV per atom; DOS(E_F) = 1.0776 states/eV/atom; VASP energy = -66.672 eV/atom
1.0
-4.2029 3.1090 -0.6486
-3.1433 -3.9182 1.5868
0.4540 1.6530 4.9812
Re Bi Ag
1 3 1
Cartesian
0.0000 0.0000 0.0000
-1.5716 -1.9591 0.7934
0.2270 0.8265 2.4906
-2.1014 1.5545 -0.3243
-3.4461 0.4219 2.9597


Entry 3:
KSbTe2 SCAN PBEsol geometry; DOS(E_F) = 0.5820 states/eV/atom; VASP energy = -29.968 eV/atom
1.0
5.5213 0.0000 0.0000
2.7606 4.7816 0.0000
2.7606 1.5939 4.5081
K Sb Te
1 1 2
Cartesian
5.5213 3.1877 2.2540
2.7606 1.5939 1.1270
0.0000 0.0000 0.0000
8.2819 4.7816 3.3811


Entry 4:
Y3Si12Ru4 SCAN PBEsol geometry; DOS(E_F) = 0.1955 states/eV/atom; VASP energy = -18.724 eV/atom
1.0
-0.0004 3.0416 -7.4617
3.0892 -6.8963 -2.8113
-8.4853 -4.7803 2.4025
Ru Si Y
8 24 6
Cartesian
-1.3286 -3.0309 -5.5862
-5.6127 -0.6351 -4.6094
-4.0679 -5.6041 -2.2842
-2.8730 -1.1036 -0.4497
1.9352 -1.6633 -8.2807
0.3907 1.0323 -5.0290
2.6981 -4.8870 -5.2440
1.1536 -2.1914 -1.9923
-3.4559 -3.8481 -5.9192
-3.4854 0.1821 -4.2764
-1.9406 -4.7869 -1.9512
-5.0003 -1.9207 -0.7827
2.5716 -3.7103 -7.3236
1.0270 0.2378 -7.1444
2.0618 -4.0925 -3.1286
0.5171 -0.1444 -2.9494
0.2666 -5.8067 -2.3230
-5.7918 -4.0616 -1.6995
-4.1184 -7.8281 -3.1467
-1.1492 -2.6152 -1.1101
-5.6631 -2.8283 -5.5475
0.3952 -4.5734 -6.1710
-1.2781 -0.8069 -4.7237
-4.2474 -6.0198 -6.7604
-0.4222 -1.9082 -7.4855
-6.4813 -1.8420 -2.7444
-3.4297 -10.0481 -2.1019
-0.4597 -3.4717 -3.4090
-4.9743 -6.7268 -0.3850
1.0848 -6.7930 -5.1260
-1.9668 1.4130 -5.7685
-4.9368 -5.1633 -4.4614
1.5444 -1.9273 -5.1365
0.0000 0.0000 0.0000
-1.9261 -4.5303 -8.3454
-3.4705 -2.5839 -3.2559
-3.4704 -4.1047 0.4749
-1.9260 -6.0512 -4.6146


| no. | ρ (Mg/m³) |
| --- | --- |
| 1 | 6.8 |
| 2 | 10.5 |
| 3 | 5.8 |
| 4 | 5.6 |